(1)
The following is a meta-GGA SCAN calculation of ZrAgIr3 at its PBEsol-relaxed geometry, from the Alexandria database.

ΔE_f	1.78	eV per atom
density of states at the Fermi level	0.766	states/eV per atom
space group	Pm-3m, No. 221

Lattice parameters (Å, degrees): 4.6529 4.6529 4.6529 90.00 90.00 90.00
Closest atoms and distances in Å follow each position.
Sites, in units of the cell vectors:
Zr: 0.0000 0.0000 0.0000  12 Ir 3.29
Ag: 0.5000 0.5000 0.5000  6 Ir 2.33
Ir: 0.0000 0.5000 0.5000  2 Ag 2.33
Ir: 0.5000 0.0000 0.5000  2 Ag 2.33
Ir: 0.5000 0.5000 0.0000  2 Ag 2.33

---

(2)
The following is a meta-GGA SCAN calculation of CdFePt2 at its PBEsol-relaxed geometry, from the Alexandria database.

ΔE_f	-0.35	eV per atom
density of states at the Fermi level	0.439	states/eV per atom
space group	Pmmm, No. 47

Lattice parameters (Å, degrees): 2.8164 3.6670 5.8578 90.00 90.00 90.00
Closest atoms and distances in Å follow each position.
Sites, in units of the cell vectors:
Cd: 0.0000 0.0000 0.0000  8 Pt 2.81, 2 Cd 2.82, 2 Fe 2.93
Fe: 0.0000 0.0000 0.5000  8 Pt 2.67, 2 Fe 2.82, 2 Cd 2.93
Pt: 0.5000 0.5000 0.2713  4 Fe 2.67, 3 Pt 2.68-2.82, 4 Cd 2.81
Pt: 0.5000 0.5000 0.7287  4 Fe 2.67, 3 Pt 2.68-2.82, 4 Cd 2.81

---

(3)
The following is a meta-GGA SCAN calculation of Sr2CaTi3O9 at its PBEsol-relaxed geometry, from the Alexandria database.

density of states at the Fermi level	0.000	states/eV per atom
relative energy among the computed polymorphs	0.027	eV per formula unit
space group	Fmm2, No. 42
ΔE_f (raw)	-3450	meV per atom

Lattice parameters (Å, degrees): 12.2016 5.4842 12.1851 77.17 25.99 76.84
Closest atoms and distances in Å follow each position.
Sites, in units of the cell vectors:
Sr: 0.0000 0.0000 0.0000  10 O 2.59-2.91
Sr: 0.1573 0.8222 0.1778  8 O 2.56-2.71
Sr: 0.4978 0.4978 0.5022  8 O 2.53-2.81
Sr: 0.8222 0.1573 0.8427  8 O 2.56-2.71
Ca: 0.3214 0.6544 0.3456  4 O 2.43-2.47
Ca: 0.6544 0.3214 0.6786  4 O 2.43-2.47
Ti: 0.0793 0.4097 0.0893  6 O 1.94-1.97
Ti: 0.2382 0.2382 0.2618  6 O 1.93-1.97
Ti: 0.4097 0.0793 0.4218  6 O 1.94-1.97
Ti: 0.5782 0.9107 0.5903  6 O 1.94-1.97
Ti: 0.7382 0.7382 0.7618  6 O 1.93-1.97
Ti: 0.9107 0.5782 0.9207  6 O 1.94-1.97
O: 0.1456 0.8414 0.6857  2 Ti 1.95-1.96
O: 0.1827 0.3268 0.6732  2 Ti 1.94
O: 0.2129 0.2904 0.1215  2 Ti 1.95
O: 0.2904 0.2129 0.3752  2 Ti 1.95
O: 0.3143 0.6728 0.8544  2 Ti 1.95-1.96
O: 0.3268 0.1827 0.8173  2 Ti 1.94
O: 0.4905 0.4905 0.0095  2 Ti 1.93-1.97
O: 0.4947 0.9648 0.0352  2 Ti 1.96
O: 0.5289 0.9605 0.4711  2 Ti 1.97
O: 0.6248 0.8785 0.7096  2 Ti 1.95
O: 0.6257 0.8212 0.1788  2 Ti 1.96
O: 0.6728 0.3143 0.1586  2 Ti 1.95-1.96
O: 0.8212 0.6257 0.3743  2 Ti 1.96
O: 0.8414 0.1456 0.3272  2 Ti 1.95-1.96
O: 0.8785 0.6248 0.7871  2 Ti 1.95
O: 0.9605 0.5289 0.0395  2 Ti 1.97
O: 0.9648 0.4947 0.5053  2 Ti 1.96
O: 0.9905 0.9905 0.5095  2 Ti 1.93-1.97

---

Question: Which of these has the lowest density of states at the Fermi level?
Answer: Sr2CaTi3O9